{"formula": "Ac2ThTe5", "functional": "PBE-GGA", "state": "relaxed", "de_polymorph_ev_per_fu": 0.000, "final_energy_ev_per_cell": -85.6, "raw_formation_energy_mev_per_atom": -1429, "space_group": "No. 55", "lattice_angstrom": [[4.670, 0.000, 0.000], [0.000, 9.082, 0.000], [0.000, 0.000, 13.842]], "species": ["Ac", "Ac", "Ac", "Ac", "Th", "Th", "Te", "Te", "Te", "Te", "Te", "Te", "Te", "Te", "Te", "Te"], "frac_coords": [[0.500, 0.536, 0.175], [0.500, 0.464, 0.825], [0.500, 0.964, 0.675], [0.500, 0.036, 0.325], [0.000, 0.500, 0.500], [0.000, 0.000, 0.000], [0.000, 0.000, 0.500], [0.000, 0.500, 0.000], [0.000, 0.827, 0.199], [0.000, 0.173, 0.801], [0.000, 0.673, 0.699], [0.000, 0.327, 0.301], [0.500, 0.674, 0.405], [0.500, 0.326, 0.595], [0.500, 0.826, 0.905], [0.500, 0.174, 0.095]]}